1.
Below is a relaxed Ba2InSiIr crystal, with properties calculated at the PBE level.

Computed properties:
The energy relative to the elements, uncorrected is 572 meV/atom. Its symmetry is P4/mmm, No. 123. For the density, the calculation gives 5.4 g/cm³. As for the volume: 188.4 Å³ per cell.

abc: 6.2273 4.8592 6.2273
angles: 90.00 90.00 90.00
Each line ends with the local moment (μB).
Atoms (fractional coordinates):
Ir 0.5000 0.5000 0.5000  0.95
Si 0.0000 0.0000 0.0000  0.01
Ba 0.5000 0.0000 0.0000  -0.03
In 0.0000 0.5000 0.0000  -0.02
Ba 0.0000 0.0000 0.5000  -0.03

2.
Below is a relaxed Cs3PaZn2O6 crystal, with properties calculated at the PBE level.

Computed properties:
The energy relative to the elements, uncorrected is -2057 meV/atom. Its symmetry is P-3m1, No. 164. For the density, the calculation gives 5.3 g/cm³. As for the volume: 268.6 Å³ per cell.

abc: 6.3150 6.3150 7.7777
angles: 90.00 90.00 120.00
Atoms (fractional coordinates):
O 0.1600 0.3201 0.3281
Zn 0.3333 0.6667 0.3216
Cs 0.6667 0.3333 0.2540
O 0.3201 0.1601 0.6719
O 0.6799 0.8399 0.3281
O 0.8400 0.1601 0.6719
Zn 0.6667 0.3333 0.6784
O 0.8400 0.6799 0.6719
Pa 0.0000 0.0000 0.5000
Cs 0.3333 0.6667 0.7460
Cs 0.0000 0.0000 0.0000
O 0.1600 0.8399 0.3281

3.
Below is a relaxed Ce2TlAu crystal, with properties calculated at the PBE level.

Computed properties:
Its energy of formation from the pure elements is -242 meV/atom. Its symmetry is R3m, No. 160. For the density, the calculation gives 9.9 g/cm³. As for the volume: 114.3 Å³ per cell.

abc: 3.6899 3.6899 9.9225
angles: 79.28 79.28 60.00
Each line ends with the local moment (μB).
Atoms (fractional coordinates):
Ce 0.2581 0.2581 0.2257  0.82
Au 0.6663 0.6663 0.0010  0.01
Tl 0.5005 0.5005 0.4986  0.00
Ce 0.0751 0.0751 0.7747  0.92

4.
Below is a relaxed Ce2MgSc crystal, with properties calculated at the PBE level.

Computed properties:
The calculation puts the energy above the most stable polymorph in this dataset at 124 meV/atom. Its energy of formation from the pure elements is 204 meV/atom. Its symmetry is R-3m, No. 166. For the density, the calculation gives 5.5 g/cm³. As for the volume: 106.0 Å³ per cell.

abc: 3.1609 3.1609 12.3820
angles: 82.67 82.67 60.00
Each line ends with the local moment (μB).
Atoms (fractional coordinates):
Ce 0.0892 0.0892 0.7324  0.36
Ce 0.9108 0.9108 0.2676  0.36
Sc 0.5000 0.5000 0.5000  0.05
Mg 0.0000 0.0000 0.0000  0.00

5.
Below is a relaxed AcZnGaHg crystal, with properties calculated at the PBE level.

Computed properties:
Its energy of formation from the pure elements is -256 meV/atom. Its symmetry is F-43m, No. 216. For the density, the calculation gives 9.4 g/cm³. As for the volume: 98.9 Å³ per cell.

abc: 5.1912 5.1912 5.1912
angles: 60.00 60.00 60.00
Atoms (fractional coordinates):
Ac 0.0000 0.0000 0.0000
Ga 0.2500 0.2500 0.2500
Hg 0.5000 0.5000 0.5000
Zn 0.7500 0.7500 0.7500

6.
Below is a relaxed Cs2ThRe2N6 crystal, with properties calculated at the PBE level.

Computed properties:
The energy relative to the elements, uncorrected is -526 meV/atom. Its symmetry is R-3m, No. 166. For the density, the calculation gives 6.8 g/cm³. As for the volume: 234.6 Å³ per cell.

abc: 6.4813 6.4815 7.4559
angles: 115.77 90.00 120.00
Atoms (fractional coordinates):
N 0.2490 0.4980 0.2831
Cs 0.2783 0.5566 0.8346
N 0.7510 0.5020 0.7169
N 0.2155 0.9667 0.7174
N 0.7512 0.9667 0.7174
N 0.2488 0.0333 0.2826
Th 0.5000 0.0000 0.5000
N 0.7845 0.0333 0.2826
Re 0.0708 0.1416 0.2127
Re 0.9292 0.8584 0.7873
Cs 0.7217 0.4434 0.1654

7.
Below is a relaxed La2Sb3Pt4Au crystal, with properties calculated at the PBE level.

Computed properties:
The energy relative to the elements, uncorrected is -846 meV/atom. Its symmetry is P-4m2, No. 115. For the density, the calculation gives 11.8 g/cm³. As for the volume: 228.0 Å³ per cell.

abc: 4.6457 4.6457 10.5630
angles: 90.00 90.00 90.00
Atoms (fractional coordinates):
Pt 0.5000 0.0000 0.6290
Pt 0.0000 0.5000 0.3710
Pt 0.5000 0.5000 0.0000
Sb 0.5000 0.0000 0.8717
Pt 0.0000 0.0000 0.0000
Sb 0.0000 0.5000 0.1283
Au 0.5000 0.5000 0.5000
Sb 0.0000 0.0000 0.5000
La 0.5000 0.0000 0.2464
La 0.0000 0.5000 0.7536

8.
Below is a relaxed InNiW crystal, with properties calculated at the PBE level.

Computed properties:
The calculation puts the energy above the most stable polymorph in this dataset at 160 meV/atom. Its energy of formation from the pure elements is 374 meV/atom. Its symmetry is P3m1, No. 156. For the density, the calculation gives 12.2 g/cm³. As for the volume: 48.7 Å³ per cell.

abc: 2.8927 2.8927 6.7149
angles: 90.00 90.00 120.00
Atoms (fractional coordinates):
In 0.0000 0.0000 0.0154
W 0.6667 0.3333 0.6395
Ni 0.3333 0.6667 0.3450

9.
Below is a relaxed AcPdAu4 crystal, with properties calculated at the PBE level.

Computed properties:
Its energy of formation from the pure elements is -488 meV/atom. Its symmetry is F-43m, No. 216. For the density, the calculation gives 14.7 g/cm³. As for the volume: 126.5 Å³ per cell.

abc: 5.6345 5.6345 5.6345
angles: 60.00 60.00 60.00
Atoms (fractional coordinates):
Ac 0.2500 0.2500 0.2500
Au 0.6258 0.6258 0.1225
Au 0.6258 0.1225 0.6258
Pd 0.0000 0.0000 0.0000
Au 0.6258 0.6258 0.6258
Au 0.1225 0.6258 0.6258

10.
Below is a relaxed LiLaNi2 crystal, with properties calculated at the PBE level.

Computed properties:
The calculation puts the energy above the most stable polymorph in this dataset at 118 meV/atom. Its energy of formation from the pure elements is -34 meV/atom. Its symmetry is P4/mmm, No. 123. For the density, the calculation gives 6.4 g/cm³. As for the volume: 68.7 Å³ per cell.

abc: 3.4147 3.4181 6.8036
angles: 59.90 90.00 90.00
Atoms (fractional coordinates):
La 0.5000 0.2500 0.2500
Li 0.5000 0.7500 0.7500
Ni 0.0000 0.0412 0.9591
Ni 0.0000 0.4588 0.5409

11.
Below is a relaxed CrFe2Mo crystal, with properties calculated at the PBE level.

Computed properties:
The calculation puts the energy above the most stable polymorph in this dataset at 85 meV/atom. Its energy of formation from the pure elements is 180 meV/atom. Its symmetry is P4mm, No. 99. For the density, the calculation gives 8.6 g/cm³. As for the volume: 49.9 Å³ per cell.

abc: 2.5780 2.5780 7.5086
angles: 90.00 90.00 90.00
Each line ends with the local moment (μB).
Atoms (fractional coordinates):
Cr 0.5000 0.5000 0.7824  -0.49
Mo 0.0000 0.0000 0.4982  -0.02
Fe 0.0000 0.0000 0.9958  1.06
Fe 0.5000 0.5000 0.2236  2.12

12.
Below is a relaxed TlCrRe crystal, with properties calculated at the PBE level.

Computed properties:
The calculation puts the energy above the most stable polymorph in this dataset at 380 meV/atom. Its energy of formation from the pure elements is 978 meV/atom. Its symmetry is F-43m, No. 216. For the density, the calculation gives 13.1 g/cm³. As for the volume: 56.2 Å³ per cell.

abc: 4.3007 4.3007 4.3007
angles: 60.00 60.00 60.00
Each line ends with the local moment (μB).
Atoms (fractional coordinates):
Tl 0.5000 0.5000 0.5000  0.08
Re 0.0000 0.0000 0.0000  -0.66
Cr 0.7500 0.7500 0.7500  2.20